Record 1
VASP calculation (GGA-PBEsol) on an optimized crystal structure of MgAl.

a = 4.0289 Å, b = 4.0289 Å, c = 4.0289 Å
α = 60.00°, β = 60.00°, γ = 60.00°
Atoms (fractional coordinates):
Al (0.0000, 0.0000, 0.0000)
Mg (0.5000, 0.5000, 0.5000)



Record 2
VASP calculation (GGA-PBEsol) on an optimized crystal structure of MgAl2.

a = 5.4502 Å, b = 5.4502 Å, c = 8.6409 Å
α = 90.00°, β = 90.00°, γ = 120.00°
Atoms (fractional coordinates):
Al (0.8287, 0.6574, 0.2500)
Al (0.6574, 0.8287, 0.7500)
Al (0.1713, 0.8287, 0.7500)
Al (0.1713, 0.3426, 0.7500)
Al (0.8287, 0.1713, 0.2500)
Al (0.0000, 0.0000, 0.5000)
Al (0.0000, 0.0000, 0.0000)
Al (0.3426, 0.1713, 0.2500)
Mg (0.6667, 0.3333, 0.9353)
Mg (0.3333, 0.6667, 0.0647)
Mg (0.3333, 0.6667, 0.4353)
Mg (0.6667, 0.3333, 0.5647)



Record 3
VASP calculation (GGA-PBEsol) on an optimized crystal structure of MgAl.

a = 2.9590 Å, b = 4.9060 Å, c = 5.2041 Å
α = 90.00°, β = 90.00°, γ = 90.00°
Atoms (fractional coordinates):
Al (0.0000, 0.2500, 0.1586)
Al (0.0000, 0.7500, 0.8414)
Mg (0.5000, 0.7500, 0.3312)
Mg (0.5000, 0.2500, 0.6688)



Record 4
VASP calculation (GGA-PBEsol) on an optimized crystal structure of MgMnAl.

a = 4.3206 Å, b = 4.3206 Å, c = 4.3206 Å
α = 60.00°, β = 60.00°, γ = 60.00°
Each line ends with the local moment (μB).
Atoms (fractional coordinates):
Mg (0.5000, 0.5000, 0.5000)  -0.02
Mn (0.7500, 0.7500, 0.7500)  3.15
Al (0.0000, 0.0000, 0.0000)  -0.09



| no. | energy relative to the elements (eV/atom) |
| --- | --- |
| 1 | 0.47 |
| 2 | 0.00 |
| 3 | 0.02 |
| 4 | 0.47 |